Entry 1:
Material: YErSnPt
Method: DFT, PBE-GGA
State: optimized geometry

Geometry as POSCAR:
```
YErSnPt
1.0
5.1295 0.0000 0.0000
2.5648 4.4423 0.0000
2.5648 1.4808 4.1882
Er Sn Pt Y
1 1 1 1
Cartesian
0.0000 0.0000 0.0000
2.5648 1.4808 1.0471
7.6943 4.4423 3.1412
5.1295 2.9615 2.0941
```

Values from the calculation:
- magnetization (μB per formula unit) = 0.00
- DFT total energy (eV/atom) = -6.13
- ΔH_f (0 K) (meV/atom) = -867
- space group = F-43m (216)


Entry 2:
Material: Tl7AsSe6
Method: DFT, PBE-GGA
State: optimized geometry

Geometry as POSCAR:
```
Tl7AsSe6
1.0
-4.7265 4.1972 -4.7797
1.7467 -3.6090 -11.4661
-9.5459 -6.8295 -3.1273
Tl Se As
14 12 2
Cartesian
-9.3943 -4.6810 -14.5299
-5.3554 -2.3453 -14.8646
-7.0312 -1.8864 -11.2868
-9.0909 -1.6712 -7.2253
-7.8747 -7.2516 -6.7586
-3.1314 -1.5603 -4.8433
-2.7303 -1.2145 -9.8979
-12.5631 -3.5982 -7.0017
-9.7954 -5.0268 -9.4752
0.0374 -2.6431 -12.3714
-3.4348 -4.5701 -12.1479
-7.1702 -3.8961 -4.5086
-4.6510 1.0103 -12.6146
-5.4945 -4.3549 -8.0864
-9.2362 -7.4182 -12.8384
-7.2585 2.0018 -6.5221
-3.2895 1.1769 -6.5347
-6.0320 -1.5814 -6.2450
-9.8958 -1.9857 -10.2417
-2.6299 -4.2556 -9.1315
-5.2672 -8.2431 -12.8510
-9.6139 -4.6779 -6.3149
-2.9118 -1.5634 -13.0583
-6.4937 -4.6599 -13.1282
-7.1270 -6.7972 -9.7423
-5.3987 0.5559 -9.6309
-5.4947 0.5383 -7.2332
-7.0310 -6.7796 -12.1400
```

Values from the calculation:
- magnetization (μB per formula unit) = 0.00
- DFT total energy (eV/atom) = -3.28
- space group = Ibam (72)


Entry 3:
Material: CaAl12Au4
Method: DFT, PBE-GGA
State: optimized geometry

Geometry as POSCAR:
```
CaAl12Au4
1.0
-6.3162 2.0272 4.0232
1.8280 -7.3689 1.5961
5.9146 4.6171 1.9722
Au Al Ca
4 12 1
Cartesian
0.7132 -0.3623 3.7957
-3.1581 1.0136 2.0116
0.9140 -3.6845 0.7980
2.9573 2.3086 0.9861
-1.7341 -3.8916 4.1967
-0.3889 -2.2907 2.5126
-0.8261 1.5106 2.9575
1.8153 1.5661 5.0789
2.2525 -2.2352 4.6339
-3.5438 0.0489 4.3569
4.9702 -0.7734 3.2346
-1.2233 -0.7759 5.4263
-0.9465 3.5020 4.7544
2.6497 0.0513 2.1651
2.3729 -4.2265 2.8371
3.1605 3.1670 3.3948
0.0000 0.0000 0.0000
```

Values from the calculation:
- magnetization (μB per formula unit) = 0.00
- DFT total energy (eV/atom) = -3.60
- ΔH_f (0 K) (meV/atom) = -65
- space group = Im-3 (204)


Look up the DFT total energy of the second one.
-3.28 eV/atom